This record from the Alexandria database describes K2CuIr after structural relaxation. The functional is PBE.

Lattice parameters (Å, degrees): 10.9621 10.9621 10.9621 15.69 15.69 15.69
Site moments in Bohr magnetons follow the coordinates.
Positions (direct):
Cu 0.2500 0.2500 0.2500  0.00
Ir 0.7500 0.7500 0.7500  0.24
K 0.0013 0.0013 0.0013  0.00
K 0.4987 0.4987 0.4987  0.00

Computed properties:
E_form: 0.8848 eV/atom